A relaxed Mo4Se2Cl crystal. Source: Alexandria via LeMat-Bulk, functional PBE-GGA.

Cell lengths 4.458, 4.458, 7.087 Å; angles 71.67, 71.67, 90.00 degrees
Positions (direct):
Se 0.621 0.621 0.757
Se 0.379 0.379 0.243
Mo 0.000 0.500 0.000
Mo 0.189 0.189 0.621
Mo 0.811 0.811 0.379
Mo 0.500 0.000 0.000
Cl 0.000 0.000 0.000

Energy, eV per atom: -6.455
Spin magnetization, μB per atom: 0.000